Record 1
LaCu2Pt after structural relaxation, computed with GGA-PBEsol.

abc: 4.241 4.241 5.418
angles: 66.96 66.96 60.00
Sites, in units of the cell vectors:
Cu (0.005, 0.005, 0.985)
Cu (0.701, 0.701, 0.898)
La (0.501, 0.501, 0.496)
Pt (0.294, 0.294, 0.119)

Calculated formation energy   -0.4580 eV/atom
N(E_F)   0.45 states/eV per atom
Space-group type   R3m (160)
Relative energy among the computed polymorphs   0 meV/atom
Uncorrected energy   -22.81 eV/cell

=====

Record 2
LaIn2Br after structural relaxation, computed with GGA-PBEsol.

abc: 3.520 3.520 9.934
angles: 90.00 90.00 115.31
Sites, in units of the cell vectors:
Br (0.500, 0.500, 0.000)
In (0.000, 0.000, 0.767)
In (0.000, 0.000, 0.233)
La (0.500, 0.500, 0.500)

N(E_F)   0.80 states/eV per atom
Space-group type   Cmmm (65)
Relative energy among the computed polymorphs   391 meV/atom
Formation energy without anion corrections   -0.27 eV/atom
Uncorrected energy   -14.27 eV/cell

=====

Record 3
RbSr2GaAg after structural relaxation, computed with GGA-PBEsol.

abc: 4.984 6.188 6.188
angles: 90.00 90.00 90.00
Sites, in units of the cell vectors:
Sr (0.000, 0.500, 0.000)
Sr (0.000, 0.000, 0.500)
Ga (0.500, 0.000, 0.000)
Ag (0.000, 0.000, 0.000)
Rb (0.500, 0.500, 0.500)

Calculated formation energy   0.0271 eV/atom
N(E_F)   0.86 states/eV per atom
Space-group type   P4/mmm (123)
Uncorrected energy   -11.22 eV/cell

=====

Record 4
YHf3Cr after structural relaxation, computed with GGA-PBEsol.

abc: 5.025 5.025 5.025
angles: 90.00 90.00 90.00
Sites, in units of the cell vectors:
Hf (0.000, 0.500, 0.000)
Hf (0.000, 0.000, 0.500)
Hf (0.500, 0.000, 0.000)
Cr (0.500, 0.500, 0.500)
Y (0.000, 0.000, 0.000)

Calculated formation energy   1.9123 eV/atom
N(E_F)   1.40 states/eV per atom
Space-group type   Pm-3m (221)
Uncorrected energy   -39.01 eV/cell

=====

Record 5
ZrSi2Hg after structural relaxation, computed with GGA-PBEsol.

abc: 3.871 3.871 5.351
angles: 111.21 111.21 90.00
Sites, in units of the cell vectors:
Si (0.750, 0.250, 0.500)
Si (0.000, 0.000, 0.000)
Zr (0.500, 0.500, 0.000)
Hg (0.250, 0.750, 0.500)

N(E_F)   0.46 states/eV per atom
Space-group type   I-4m2 (119)
Relative energy among the computed polymorphs   0 meV/atom
Formation energy without anion corrections   -0.23 eV/atom
Uncorrected energy   -22.07 eV/cell

=====

Record 6
BaVP2H4O10 after structural relaxation, computed with GGA-PBEsol.

abc: 6.413 10.844 11.319
angles: 102.02 90.00 90.00
Sites, in units of the cell vectors:
O (0.511, 0.103, 0.673)
O (0.742, 0.569, 0.983)
O (0.463, 0.044, 0.164)
O (0.324, 0.350, 0.649)
O (0.963, 0.456, 0.336)
O (0.205, 0.125, 0.843)
O (0.479, 0.536, 0.801)
O (0.346, 0.631, 0.562)
O (0.705, 0.375, 0.657)
O (0.015, 0.180, 0.661)
O (0.011, 0.397, 0.827)
O (0.489, 0.897, 0.327)
O (0.980, 0.692, 0.519)
O (0.485, 0.680, 0.161)
O (0.520, 0.192, 0.019)
O (0.989, 0.603, 0.173)
O (0.258, 0.431, 0.017)
O (0.037, 0.544, 0.664)
O (0.176, 0.850, 0.149)
O (0.480, 0.808, 0.981)
O (0.154, 0.131, 0.062)
O (0.515, 0.320, 0.839)
O (0.242, 0.931, 0.517)
O (0.359, 0.264, 0.231)
O (0.795, 0.875, 0.157)
O (0.521, 0.464, 0.199)
O (0.020, 0.308, 0.481)
O (0.641, 0.736, 0.769)
O (0.537, 0.956, 0.836)
O (0.979, 0.964, 0.699)
O (0.846, 0.869, 0.938)
O (0.824, 0.150, 0.851)
O (0.141, 0.764, 0.731)
O (0.295, 0.625, 0.343)
O (0.985, 0.820, 0.339)
O (0.859, 0.236, 0.269)
O (0.758, 0.069, 0.483)
O (0.654, 0.369, 0.438)
O (0.676, 0.650, 0.351)
O (0.021, 0.036, 0.301)
P (0.882, 0.345, 0.385)
P (0.505, 0.396, 0.737)
P (0.618, 0.845, 0.885)
P (0.995, 0.896, 0.237)
P (0.005, 0.104, 0.763)
P (0.118, 0.655, 0.615)
P (0.495, 0.604, 0.263)
P (0.382, 0.155, 0.115)
H (0.924, 0.148, 0.274)
H (0.836, 0.883, 0.032)
H (0.641, 0.553, 0.913)
H (0.340, 0.381, 0.948)
H (0.160, 0.881, 0.448)
H (0.359, 0.447, 0.087)
H (0.576, 0.648, 0.774)
H (0.076, 0.852, 0.726)
H (0.859, 0.053, 0.413)
H (0.336, 0.617, 0.468)
H (0.164, 0.117, 0.968)
H (0.660, 0.619, 0.052)
H (0.141, 0.947, 0.587)
H (0.840, 0.119, 0.552)
H (0.664, 0.383, 0.532)
H (0.424, 0.352, 0.226)
Ba (0.135, 0.652, 0.945)
Ba (0.865, 0.348, 0.055)
Ba (0.365, 0.152, 0.445)
Ba (0.635, 0.848, 0.555)
V (0.979, 0.632, 0.320)
V (0.521, 0.132, 0.820)
V (0.021, 0.368, 0.680)
V (0.479, 0.868, 0.180)

Space-group type   P2_1/c (14)
Uncorrected energy   -503.65 eV/cell

=====

Record 7
LaFe3 after structural relaxation, computed with GGA-PBEsol.

abc: 3.207 4.317 5.190
angles: 114.57 108.00 90.00
Sites, in units of the cell vectors:
Fe (0.766, 0.766, 0.533)
Fe (0.234, 0.234, 0.467)
Fe (0.500, 0.000, 0.000)
La (0.000, 0.500, 0.000)

Calculated formation energy   0.5052 eV/atom
N(E_F)   1.12 states/eV per atom
Space-group type   Immm (71)
Uncorrected energy   -30.22 eV/cell

=====

Record 8
ScNiW2 after structural relaxation, computed with GGA-PBEsol.

abc: 2.706 4.316 5.345
angles: 90.00 99.39 90.00
Sites, in units of the cell vectors:
Sc (0.247, 0.500, 0.737)
W (0.978, 0.000, 0.018)
W (0.753, 0.500, 0.241)
Ni (0.522, 0.000, 0.504)

Calculated formation energy   0.1929 eV/atom
N(E_F)   0.98 states/eV per atom
Space-group type   Pm (6)
Relative energy among the computed polymorphs   14 meV/atom
Uncorrected energy   -39.61 eV/cell

=====

Record 9
K2NaMoBr6 after structural relaxation, computed with GGA-PBEsol.

abc: 7.597 7.597 7.597
angles: 60.00 60.00 60.00
Sites, in units of the cell vectors:
K (0.750, 0.750, 0.750)
K (0.250, 0.250, 0.250)
Br (0.238, 0.238, 0.762)
Br (0.238, 0.762, 0.762)
Br (0.238, 0.762, 0.238)
Br (0.762, 0.238, 0.238)
Br (0.762, 0.238, 0.762)
Br (0.762, 0.762, 0.238)
Na (0.500, 0.500, 0.500)
Mo (0.000, 0.000, 0.000)

Space-group type   Fm-3m (225)
Formation energy without anion corrections   -1.15 eV/atom
Uncorrected energy   -38.16 eV/cell

=====

Record 10
Na2O after structural relaxation, computed with GGA-PBEsol.

abc: 3.615 5.221 5.254
angles: 90.00 90.00 90.00
Sites, in units of the cell vectors:
O (0.000, 0.000, 0.000)
O (0.500, 0.500, 0.500)
Na (0.500, 0.191, 0.808)
Na (0.000, 0.691, 0.692)
Na (0.000, 0.309, 0.308)
Na (0.500, 0.809, 0.192)

Space-group type   Pnnm (58)
Formation energy without anion corrections   -1.16 eV/atom
Uncorrected energy   -23.05 eV/cell

=====

Record 11
ScIn2Ir after structural relaxation, computed with GGA-PBEsol.

abc: 3.127 3.122 8.036
angles: 90.00 90.00 90.00
Sites, in units of the cell vectors:
Sc (0.500, 0.500, 0.707)
In (0.500, 0.500, 0.288)
In (0.000, 0.000, 0.992)
Ir (0.000, 0.000, 0.513)

Calculated formation energy   -0.3759 eV/atom
N(E_F)   0.42 states/eV per atom
Space-group type   P4mm (99)
Uncorrected energy   -23.90 eV/cell

=====

Record 12
SrTeAsN2 after structural relaxation, computed with GGA-PBEsol.

abc: 4.264 4.264 5.434
angles: 90.00 90.00 90.00
Sites, in units of the cell vectors:
As (0.000, 0.000, 0.000)
Sr (0.500, 0.500, 0.500)
N (0.000, 0.500, 0.000)
N (0.500, 0.000, 0.000)
Te (0.000, 0.000, 0.500)

N(E_F)   0.60 states/eV per atom
Space-group type   P4/mmm (123)
Formation energy without anion corrections   0.68 eV/atom
Uncorrected energy   -24.12 eV/cell

=====

Q: uncorrected energy of number 1 (LaCu2Pt)?
A: -22.81 eV/cell